1.
YPd2F: optimized geometry, PBE.

Values from the calculation:
electronic total energy	-5.46	eV/atom
formation energy from raw total energies	-0.780	eV/atom
calculated volume	17.67	Å³ per atom
energy above the lowest structure with this stoichiometry	326.2	meV per atom
D(E_F)	0.391	states/eV/atom

Structure (POSCAR):
```
YPd2F
1.0
0.0000 3.2815 3.2815
3.2815 0.0000 3.2815
3.2815 3.2815 0.0000
Y F Pd
1 1 2
Direct
0.5000 0.5000 0.5000 Y
0.0000 0.0000 0.0000 F
0.2500 0.2500 0.2500 Pd
0.7500 0.7500 0.7500 Pd
```

---

2.
ZnPd2F: optimized geometry, PBE.

Values from the calculation:
electronic total energy	-3.72	eV/atom
formation energy from raw total energies	-0.340	eV/atom
calculated volume	15.00	Å³ per atom
energy above the lowest structure with this stoichiometry	67.9	meV per atom
D(E_F)	0.269	states/eV/atom

Structure (POSCAR):
```
ZnPd2F
1.0
6.6244 0.0000 0.0000
0.0000 6.6244 0.0000
3.3122 3.3122 2.7354
Pd F Zn
4 2 2
Direct
0.6054 0.1250 0.2500 Pd
0.3750 0.3946 0.7500 Pd
0.1446 0.6250 0.2500 Pd
0.8750 0.8554 0.7500 Pd
0.2500 0.7500 0.5000 F
0.5000 0.5000 0.0000 F
0.7500 0.2500 0.5000 Zn
0.0000 0.0000 0.0000 Zn
```

---

3.
ZnPd2F6: optimized geometry, PBE.

Values from the calculation:
electronic total energy	-3.96	eV/atom
formation energy from raw total energies	-1.418	eV/atom
calculated volume	15.02	Å³ per atom

Structure (POSCAR):
```
ZnPd2F6
1.0
5.5508 -0.4213 0.0060
0.0813 7.0423 1.9058
-0.3749 1.1061 7.2020
Pd F Zn
4 12 2
Direct
0.7508 0.3813 0.0723 Pd
0.7492 0.9277 0.6187 Pd
0.2492 0.6187 0.9277 Pd
0.2508 0.0723 0.3813 Pd
0.4341 0.9904 0.1692 F
0.0878 0.1157 0.6280 F
0.4122 0.3720 0.8843 F
0.3878 0.7900 0.6146 F
0.5878 0.6280 0.1157 F
0.5659 0.0096 0.8308 F
0.1122 0.3854 0.2100 F
0.6122 0.2100 0.3854 F
0.9122 0.8843 0.3720 F
0.9341 0.1692 0.9904 F
0.8878 0.6146 0.7900 F
0.0659 0.8308 0.0096 F
0.7500 0.8877 0.1123 Zn
0.2500 0.1123 0.8877 Zn
```

---

4.
ZnPd2F: optimized geometry, PBE.

Values from the calculation:
electronic total energy	-3.79	eV/atom
formation energy from raw total energies	-0.408	eV/atom
calculated volume	13.94	Å³ per atom
energy above the lowest structure with this stoichiometry	0.0	meV per atom
D(E_F)	0.766	states/eV/atom

Structure (POSCAR):
```
ZnPd2F
1.0
0.0000 3.0326 3.0326
3.0326 0.0000 3.0326
3.0326 3.0326 0.0000
Pd Zn F
2 1 1
Direct
0.2500 0.2500 0.2500 Pd
0.7500 0.7500 0.7500 Pd
0.5000 0.5000 0.5000 Zn
0.0000 0.0000 0.0000 F
```

---

5.
ZnPdF: optimized geometry, PBE.

Values from the calculation:
electronic total energy	-3.81	eV/atom
formation energy from raw total energies	-1.030	eV/atom
calculated volume	15.25	Å³ per atom
D(E_F)	0.331	states/eV/atom

Structure (POSCAR):
```
ZnPdF
1.0
2.8927 0.0000 0.0000
-1.4464 2.5110 0.0000
0.0000 0.0000 12.5939
Zn Pd F
2 2 2
Direct
0.3869 0.7737 0.5000 Zn
0.5014 0.0028 0.0000 Zn
0.7203 0.4406 0.6575 Pd
0.7203 0.4406 0.3425 Pd
0.1688 0.3377 0.0981 F
0.1688 0.3377 0.9019 F
```

---

6.
ZnPdF5: optimized geometry, PBE.

Values from the calculation:
electronic total energy	-3.94	eV/atom
formation energy from raw total energies	-1.675	eV/atom
calculated volume	14.87	Å³ per atom

Structure (POSCAR):
```
ZnPdF5
1.0
4.8713 0.4315 -2.1607
-0.3249 4.8796 -2.1604
-0.0236 -0.0281 8.7313
F Pd Zn
10 2 2
Direct
0.2488 0.6850 0.3531 F
0.4676 0.0324 0.7500 F
0.7512 0.3150 0.6469 F
0.8150 0.2512 0.1469 F
0.7559 0.6832 0.0108 F
0.1831 0.2558 0.5108 F
0.1850 0.7488 0.8531 F
0.2441 0.3168 0.9892 F
0.5324 0.9676 0.2500 F
0.8169 0.7442 0.4892 F
0.5000 0.0000 0.0000 Pd
0.5000 0.0000 0.5000 Pd
0.1530 0.3469 0.7500 Zn
0.8470 0.6531 0.2500 Zn
```

---

7.
ZrPdF3: optimized geometry, PBE.

Values from the calculation:
electronic total energy	-4.72	eV/atom
formation energy from raw total energies	-0.849	eV/atom
calculated volume	16.19	Å³ per atom
energy above the lowest structure with this stoichiometry	1217.9	meV per atom
D(E_F)	0.803	states/eV/atom

Structure (POSCAR):
```
ZrPdF3
1.0
4.3261 0.0000 0.0000
0.0000 4.3261 0.0000
0.0000 0.0000 4.3261
Pd F Zr
1 3 1
Direct
0.0000 0.0000 0.0000 Pd
0.5000 0.0000 0.0000 F
0.0000 0.0000 0.5000 F
0.0000 0.5000 0.0000 F
0.5000 0.5000 0.5000 Zr
```

---

8.
ZrPdF2: optimized geometry, PBE.

Values from the calculation:
electronic total energy	-6.05	eV/atom
formation energy from raw total energies	-1.674	eV/atom
calculated volume	14.47	Å³ per atom
energy above the lowest structure with this stoichiometry	0.0	meV per atom
D(E_F)	0.156	states/eV/atom

Structure (POSCAR):
```
ZrPdF2
1.0
-1.3397 3.5301 -1.1582
0.6340 -0.9959 -3.7689
-7.2311 -1.4844 -2.8935
F Pd Zr
4 2 2
Direct
0.8750 0.7838 0.7500 F
0.3750 0.4662 0.7500 F
0.2162 0.6250 0.2500 F
0.5338 0.1250 0.2500 F
0.0000 0.0000 0.0000 Pd
0.7500 0.2500 0.5000 Pd
0.5000 0.5000 0.0000 Zr
0.2500 0.7500 0.5000 Zr
```

---

> Which value of calculated volume does entry 5 give?

15.25 Å³ per atom

---

> Which of these has the highest formation energy from raw total energies?

number 2

---

What did the third record say?
ZnPd2F6: optimized geometry, PBE.

Values from the calculation:
electronic total energy	-3.96	eV/atom
formation energy from raw total energies	-1.418	eV/atom
calculated volume	15.02	Å³ per atom

Structure (POSCAR):
```
ZnPd2F6
1.0
5.5508 -0.4213 0.0060
0.0813 7.0423 1.9058
-0.3749 1.1061 7.2020
Pd F Zn
4 12 2
Direct
0.7508 0.3813 0.0723 Pd
0.7492 0.9277 0.6187 Pd
0.2492 0.6187 0.9277 Pd
0.2508 0.0723 0.3813 Pd
0.4341 0.9904 0.1692 F
0.0878 0.1157 0.6280 F
0.4122 0.3720 0.8843 F
0.3878 0.7900 0.6146 F
0.5878 0.6280 0.1157 F
0.5659 0.0096 0.8308 F
0.1122 0.3854 0.2100 F
0.6122 0.2100 0.3854 F
0.9122 0.8843 0.3720 F
0.9341 0.1692 0.9904 F
0.8878 0.6146 0.7900 F
0.0659 0.8308 0.0096 F
0.7500 0.8877 0.1123 Zn
0.2500 0.1123 0.8877 Zn
```

---

> What is the formation energy from raw total energies in the eighth record?

-1.674 eV/atom